A geometry-optimized Ca2GeSb3Pd4 structure. Source: the Alexandria database, functional PBE. Values from VASP.

```
&SYSTEM
  ibrav = 0, nat = 10, ntyp = 4
/
ATOMIC_SPECIES
Ca 40.08 Ca.upf
Ge 72.64 Ge.upf
Sb 121.76 Sb.upf
Pd 106.42 Pd.upf
ATOMIC_POSITIONS crystal
Ca 0.0000 0.5000 0.2444
Ca 0.5000 0.0000 0.7556
Ge 0.0000 0.0000 0.5000
Sb 0.0000 0.5000 0.8661
Sb 0.5000 0.0000 0.1339
Sb 0.5000 0.5000 0.5000
Pd 0.0000 0.0000 0.0000
Pd 0.0000 0.5000 0.6273
Pd 0.5000 0.0000 0.3727
Pd 0.5000 0.5000 0.0000
CELL_PARAMETERS angstrom
4.5111 0.0000 0.0000
0.0000 4.5111 0.0000
0.0000 0.0000 10.8631
```

Calculated values
The calculation puts the density of states at the Fermi level at 5.18 states/eV/f.u. The total energy is -4.879 eV per atom. As for the formation energy from raw total energies: -703 meV per atom. The calculation puts the total magnetic moment at 0.00 μB per formula unit. As for the space group: P-4m2 (115).

---

A geometry-optimized Ca4Ge3SbPd12 structure. Source: the Alexandria database, functional PBE. Values from VASP.

```
&SYSTEM
  ibrav = 0, nat = 20, ntyp = 4
/
ATOMIC_SPECIES
Ca 40.08 Ca.upf
Ge 72.64 Ge.upf
Sb 121.76 Sb.upf
Pd 106.42 Pd.upf
ATOMIC_POSITIONS crystal
Ca 0.0000 0.0000 0.5000
Ca 0.0000 0.5000 0.0000
Ca 0.5000 0.0000 0.0000
Ca 0.5000 0.5000 0.5000
Ge 0.0000 0.5000 0.5000
Ge 0.5000 0.0000 0.5000
Ge 0.5000 0.5000 0.0000
Sb 0.0000 0.0000 0.0000
Pd 0.0000 0.2593 0.2593
Pd 0.0000 0.7407 0.7407
Pd 0.2500 0.5000 0.7500
Pd 0.2500 0.7500 0.5000
Pd 0.2593 0.0000 0.2593
Pd 0.2593 0.2593 0.0000
Pd 0.5000 0.2500 0.7500
Pd 0.5000 0.7500 0.2500
Pd 0.7407 0.0000 0.7407
Pd 0.7407 0.7407 0.0000
Pd 0.7500 0.2500 0.5000
Pd 0.7500 0.5000 0.2500
CELL_PARAMETERS angstrom
-4.7880 4.7880 4.7880
4.7880 -4.7880 4.7880
4.7880 4.7880 -4.7880
```

Calculated values
The calculation puts the density of states at the Fermi level at 7.76 states/eV/f.u. The total energy is -4.801 eV per atom. As for the formation energy from raw total energies: -386 meV per atom. The calculation puts the total magnetic moment at 0.00 μB per formula unit. As for the space group: Im-3m (229).